(1)
A relaxed NaPrRh4O8 crystal, computed with PBE.

Lattice parameters (Å, degrees): 6.2947 6.2947 6.6110 61.57 61.57 60.00
Sites, in units of the cell vectors:
O1 0.2513 0.2513 0.6908
Rh1 0.5912 0.5912 0.2264
O2 0.2513 0.8065 0.6908
Rh2 0.0009 0.5036 0.4947
O3 0.7460 0.7460 0.2945
O4 0.7742 0.7742 0.6775
O5 0.2335 0.2335 0.2995
O6 0.8065 0.2513 0.6908
Rh3 0.5036 0.0009 0.4947
O7 0.7460 0.2134 0.2945
Pr1 0.3789 0.3789 0.8632
Na1 0.0022 0.0022 0.9935
Rh4 0.0009 0.0009 0.4947
O8 0.2134 0.7460 0.2945

Calculated values
SG = No. 160
Electronic total energy = -6.49 eV/atom
Uncorrected formation energy = -1121 meV per atom

***

(2)
A relaxed CaTb8Er5 crystal, computed with PBE.

Lattice parameters (Å, degrees): 8.4724 8.4724 8.4724 111.03 106.40 111.03
Sites, in units of the cell vectors:
Tb1 0.7246 0.2540 0.3292
Er1 0.5000 0.0000 0.5000
Tb2 0.6708 0.3955 0.9248
Er2 0.2805 0.0948 0.9625
Er3 0.8678 0.9052 0.1857
Er4 0.8143 0.6821 0.7195
Er5 0.0375 0.3179 0.1322
Tb3 0.1597 0.7384 0.0836
Ca1 0.2500 0.5000 0.7500
Tb4 0.9164 0.0761 0.6548
Tb5 0.5293 0.6045 0.2754
Tb6 0.5787 0.9239 0.8403
Tb7 0.0752 0.7460 0.4707
Tb8 0.3452 0.2616 0.4213

Calculated values
SG = No. 82
Energy of formation = 245 meV per atom
Electronic total energy = -4.17 eV/atom

***

Copy entry 2 word for word.
A relaxed CaTb8Er5 crystal, computed with PBE.

Lattice parameters (Å, degrees): 8.4724 8.4724 8.4724 111.03 106.40 111.03
Sites, in units of the cell vectors:
Tb1 0.7246 0.2540 0.3292
Er1 0.5000 0.0000 0.5000
Tb2 0.6708 0.3955 0.9248
Er2 0.2805 0.0948 0.9625
Er3 0.8678 0.9052 0.1857
Er4 0.8143 0.6821 0.7195
Er5 0.0375 0.3179 0.1322
Tb3 0.1597 0.7384 0.0836
Ca1 0.2500 0.5000 0.7500
Tb4 0.9164 0.0761 0.6548
Tb5 0.5293 0.6045 0.2754
Tb6 0.5787 0.9239 0.8403
Tb7 0.0752 0.7460 0.4707
Tb8 0.3452 0.2616 0.4213

Calculated values
SG = No. 82
Energy of formation = 245 meV per atom
Electronic total energy = -4.17 eV/atom